# Ag2GePb

A geometry-optimized Ag2GePb structure (PBE, Alexandria).

a b c (Å): 4.967 4.967 4.967
angles (deg): 60.00 60.00 60.00
Atoms (fractional coordinates):
Ag 0.750 0.750 0.750
Ge 0.000 0.000 0.000
Pb 0.500 0.500 0.500
Ag 0.250 0.250 0.250

Output
- Formation enthalpy at 0 K: 0.8 eV per formula unit
- Density: 9.495 g/cm3
- SG: No. 225
- E above lowest polymorph: 0.0344 eV/atom